An optimized crystal structure of SnP3Rh, computed with GGA-PBE.

Lattice parameters (Å, degrees): 4.659 4.659 4.659 90.00 90.00 90.00
Sites, in units of the cell vectors:
Sn 0.000 0.000 0.000
P 0.000 0.500 0.500
P 0.500 0.000 0.500
P 0.500 0.500 0.000
Rh 0.500 0.500 0.500

Summary:
DFT total energy: -4.9899 eV per atom
DFT formation energy: 527 meV/atom
DOS(E_F): 5.16 states/eV/f.u.
ΔE to the lowest computed polymorph: 0 meV/atom
Space-group type: Pm-3m